DFT (PBE) results for a relaxed structure of Nb4Tl3W2C3.

The structure belongs to space group C2/c (No. 15); the cell edges are 9.686, 5.591 and 14.628 Å and the angles 90.00°, 102.78° and 90.00°. The inequivalent atoms are Nb at (0.111, 0.081, 0.082), Nb at (0.222, 0.085, 0.418), Tl at (0.000, 0.091, 0.750), Tl at (0.162, 0.422, 0.249), W at (0.060, 0.415, 0.926), C at (0.082, 0.254, 0.500) and C at (0.250, 0.250, 0.000).

The value obtained for the energy is -8.49 eV/atom.


DFT (PBE) results for a relaxed structure of Nb4TlZnC2.

The structure belongs to space group P-6m2 (No. 187); the cell edges are 3.1984, 3.1984 and 14.0853 Å and the angles 90.00°, 90.00° and 120.00°. The inequivalent atoms are Nb at (0.0000, 0.0000, 0.1561), Nb at (0.6667, 0.3333, 0.3248), Tl at (0.0000, 0.0000, 0.5000), Zn at (0.6667, 0.3333, 0.0000) and C at (0.3333, 0.6667, 0.2393).

The value obtained for the energy is -8.13 eV/atom.


DFT (PBE) results for a relaxed structure of Zr4Nb2Tl3C3.

The structure belongs to space group C2/c (No. 15); the cell edges are 10.010, 5.783 and 15.215 Å and the angles 90.00°, 102.74° and 90.00°. The inequivalent atoms are Zr at (0.112, 0.079, 0.085), Zr at (0.219, 0.086, 0.415), Nb at (0.060, 0.415, 0.925), Tl at (0.000, 0.099, 0.750), Tl at (0.159, 0.423, 0.249), C at (0.081, 0.255, 0.500) and C at (0.250, 0.250, 0.000).

The value obtained for the energy is -7.95 eV/atom.


DFT (PBE) results for a relaxed structure of TmNb3C.

The structure belongs to space group Pm-3m (No. 221); the cell edges are 4.451, 4.451 and 4.451 Å and the angles 90.00°, 90.00° and 90.00°. The inequivalent atoms are Tm at (0.000, 0.000, 0.000), Nb at (0.000, 0.500, 0.500) and C at (0.500, 0.500, 0.500).

The value obtained for the energy is -8.81 eV/atom.


DFT (PBE) results for a relaxed structure of Tm2Nb2C3.

The structure belongs to space group C2/m (No. 12); the cell edges are 11.489, 3.379 and 5.731 Å and the angles 90.00°, 106.87° and 90.00°. The inequivalent atoms are Tm at (0.113, 0.000, 0.343), Nb at (0.146, 0.500, 0.839), C at (0.000, 0.500, 0.500) and C at (0.246, 0.000, 0.765).

The value obtained for the energy is -8.59 eV/atom.


DFT (PBE) results for a relaxed structure of Nb2Zn3W4C3.

The structure belongs to space group C2/c (No. 15); the cell edges are 9.172, 5.294 and 14.016 Å and the angles 90.00°, 103.07° and 90.00°. The inequivalent atoms are Nb at (0.049, 0.084, 0.398), Zn at (0.000, 0.429, 0.750), Zn at (0.241, 0.156, 0.749), W at (0.111, 0.416, 0.582), W at (0.222, 0.416, 0.918), C at (0.080, 0.241, 0.000) and C at (0.250, 0.250, 0.500).

The value obtained for the energy is -8.69 eV/atom.


DFT (PBE) results for a relaxed structure of YNb3C.

The structure belongs to space group Pm-3m (No. 221); the cell edges are 4.472, 4.472 and 4.472 Å and the angles 90.00°, 90.00° and 90.00°. The inequivalent atoms are Y at (0.000, 0.000, 0.000), Nb at (0.000, 0.500, 0.500) and C at (0.500, 0.500, 0.500).

The value obtained for the energy is -9.16 eV/atom.


DFT (PBE) results for a relaxed structure of Y4Nb2Zn3C3.

The structure belongs to space group C2/c (No. 15); the cell edges are 10.374, 5.985 and 14.731 Å and the angles 90.00°, 104.81° and 90.00°. The inequivalent atoms are Y at (0.121, 0.071, 0.104), Y at (0.206, 0.091, 0.396), Nb at (0.065, 0.409, 0.930), Zn at (0.000, 0.169, 0.750), Zn at (0.121, 0.463, 0.247), C at (0.074, 0.278, 0.500) and C at (0.250, 0.250, 0.000).

The value obtained for the energy is -6.83 eV/atom.


What is the energy in the second record?
-8.13 eV/atom


The lowest energy belongs to which entry?
YNb3C